5
Lattice="-0.077 -2.504 -2.957 3.505 1.215 -1.120 1.978 -3.231 2.685" Properties=species:S:1:pos:R:3 comment="PBE with a Hubbard U VBrN2F, relaxed" n_ef_per_ev_atom=0.7417 magnetic_moment_mub_per_cell=0.29 final_energy_ev_per_atom=-3.709 pbc="T T T"
V 2.703 -2.260 -0.696
Br 0.000 0.000 0.000
F 0.989 -1.615 1.343
N -0.038 -1.252 -1.478
N 1.753 0.608 -0.560